This record from Alexandria describes crystalline Pr3PPb at its relaxed geometry. The functional is PBE-GGA.

The relative energy among the computed polymorphs is 188 meV/atom. As for the total energy: -5.399 eV per atom. As for the magnetization: 0.000 μB per atom. The calculation puts the formation energy from the elements at -0.71 eV/atom.

It has space group Pm-3m (No. 221), with a = 5.5189 Å, b = 5.5189 Å, c = 5.5189 Å, α = 90.00°, β = 90.00° and γ = 90.00°. The asymmetric unit holds Pr at (0.0000, 0.0000, 0.5000), P at (0.0000, 0.0000, 0.0000) and Pb at (0.5000, 0.5000, 0.5000).